Record 1
KSbRu, optimized geometry, DFT PBE; final energy = -9.46 eV/cell
1.0
-3.7520 2.5507 2.1887
-0.0149 0.6678 4.9928
0.8544 4.5729 1.9319
Sb Ru K
1 1 1
Direct
0.5000 0.5000 0.5000 Sb
0.0000 0.0000 0.0000 Ru
0.7500 0.7500 0.7500 K

---

Record 2
Mg5Tc, optimized geometry, DFT PBE; final energy = -17.30 eV/cell; calculated formation energy = 1.0 eV/f.u.
1.0
3.0305 0.0000 0.0000
0.0000 3.0305 0.0000
0.0000 0.0000 13.3872
Mg Tc
5 1
Direct
0.5000 0.5000 0.6780 Mg
0.5000 0.5000 0.3220 Mg
0.0000 0.0000 0.5000 Mg
0.0000 0.0000 0.1383 Mg
0.0000 0.0000 0.8618 Mg
0.5000 0.5000 0.0000 Tc